1:
DFT (GGA-PBEsol) results for a geometry-optimized CaReMo2 structure.

Properties
M_tot in μB per cell: 0.0
D(E_F) in states/eV/f.u.: 4.5
Symmetry: P4mm, No. 99

```
CaReMo2
1.0
-1.647 1.240 -2.353
-2.562 -1.483 1.011
-1.687 5.804 4.240
Re Mo Ca
1 2 1
direct
0.000 0.000 0.446
0.000 0.000 0.055
0.500 0.500 0.256
0.500 0.500 0.743
```

***

2:
DFT (GGA-PBEsol) results for a geometry-optimized CaReMo2 structure.

Properties
M_tot in μB per cell: 0.0
D(E_F) in states/eV/f.u.: 3.3
Symmetry: P2/m, No. 10

```
CaReMo2
1.0
2.707 0.000 0.010
0.000 4.450 0.000
-0.868 0.000 5.634
Mo Ca Re
2 1 1
direct
0.251 0.000 0.219
0.749 0.000 0.781
0.000 0.500 0.500
0.500 0.500 0.000
```

***

Least stable = 2

***

1:
DFT (GGA-PBEsol) results for a geometry-optimized CaReMo2 structure.

Properties
M_tot in μB per cell: 0.0
D(E_F) in states/eV/f.u.: 3.2
Symmetry: Cmmm, No. 65

```
CaReMo2
1.0
2.621 0.000 0.000
0.000 5.378 0.000
0.000 -2.689 4.750
Mo Re Ca
2 1 1
direct
0.000 0.000 0.500
0.000 0.500 0.500
0.500 0.000 0.000
0.500 0.500 0.000
```

***

2:
DFT (GGA-PBEsol) results for a geometry-optimized CaReMo2 structure.

Properties
M_tot in μB per cell: 0.0
D(E_F) in states/eV/f.u.: 3.4
Symmetry: Imm2, No. 44

```
CaReMo2
1.0
-2.522 -0.398 1.732
0.966 -4.636 0.342
3.265 3.316 2.769
Mo Ca Re
2 1 1
direct
0.754 0.254 0.508
0.018 0.018 0.036
0.249 0.749 0.498
0.479 0.479 0.958
```

***

Least stable = 1

***

1:
DFT (GGA-PBEsol) results for a geometry-optimized CaSc2Mo structure.

Properties
M_tot in μB per cell: 0.0
D(E_F) in states/eV/f.u.: 3.1
Symmetry: Cm, No. 8

```
CaSc2Mo
1.0
3.012 0.000 0.000
-1.506 4.847 0.015
0.000 -0.313 6.338
Ca Sc Mo
1 2 1
direct
0.497 0.995 0.483
0.256 0.512 0.802
0.003 0.006 0.034
0.743 0.487 0.181
```

***

2:
DFT (GGA-PBEsol) results for a geometry-optimized CaSc2Mo structure.

Properties
M_tot in μB per cell: 0.0
D(E_F) in states/eV/f.u.: 3.8
Symmetry: P4mm, No. 99

```
CaSc2Mo
1.0
3.554 0.000 0.000
0.000 3.554 0.000
0.000 0.000 7.532
Mo Sc Ca
1 2 1
direct
0.500 0.500 0.819
0.000 0.000 0.953
0.500 0.500 0.188
0.000 0.000 0.540
```

***

3:
DFT (GGA-PBEsol) results for a geometry-optimized CaSc2Mo structure.

Properties
M_tot in μB per cell: 0.0
D(E_F) in states/eV/f.u.: 3.1
Symmetry: Immm, No. 71

```
CaSc2Mo
1.0
3.254 0.000 0.000
0.000 5.670 0.000
-1.627 -2.835 5.087
Sc Mo Ca
2 1 1
direct
0.297 0.297 0.593
0.703 0.703 0.407
0.000 0.500 0.000
0.500 0.000 0.000
```

***

Least stable = 1

***

1:
DFT (GGA-PBEsol) results for a geometry-optimized Sr2CaMo structure.

Properties
M_tot in μB per cell: 1.7
D(E_F) in states/eV/f.u.: 3.1
Symmetry: R-3m, No. 166

```
Sr2CaMo
1.0
3.653 0.000 0.000
1.827 3.164 0.000
1.827 1.055 11.634
Ca Sr Mo
1 2 1
direct
0.500 0.500 0.500
0.733 0.733 0.800
0.267 0.267 0.200
0.000 0.000 0.000
```

***

2:
DFT (GGA-PBEsol) results for a geometry-optimized Sr2CaMo structure.

Properties
M_tot in μB per cell: 2.5
D(E_F) in states/eV/f.u.: 2.8
Symmetry: Immm, No. 71

```
Sr2CaMo
1.0
3.819 0.000 0.000
0.000 5.880 0.000
-1.909 -2.940 6.107
Mo Ca Sr
1 1 2
direct
0.000 0.500 0.000
0.500 0.000 0.000
0.299 0.299 0.597
0.701 0.701 0.403
```

***

Least stable = 1

***

1:
DFT (GGA-PBEsol) results for a geometry-optimized Ca2TcMo structure.

Properties
M_tot in μB per cell: 0.0
D(E_F) in states/eV/f.u.: 4.1
Symmetry: R3m, No. 160

```
Ca2TcMo
1.0
3.298 0.000 0.000
1.649 2.856 0.000
1.649 0.952 9.969
Mo Tc Ca
1 1 2
direct
0.518 0.518 0.447
0.235 0.235 0.295
0.983 0.983 0.052
0.764 0.764 0.707
```

***

2:
DFT (GGA-PBEsol) results for a geometry-optimized Ca2TcMo structure.

Properties
M_tot in μB per cell: 0.0
D(E_F) in states/eV/f.u.: 2.9
Symmetry: Cmmm, No. 65

```
Ca2TcMo
1.0
2.750 0.000 0.000
0.000 5.486 0.000
0.000 -2.743 5.028
Tc Ca Mo
1 2 1
direct
0.500 0.500 0.000
0.000 0.000 0.500
0.000 0.500 0.500
0.500 0.000 0.000
```

***

Least stable = 2

***

1:
DFT (GGA-PBEsol) results for a geometry-optimized CaTcMo2 structure.

Properties
M_tot in μB per cell: 0.0
D(E_F) in states/eV/f.u.: 4.0
Symmetry: Imm2, No. 44

```
CaTcMo2
1.0
3.107 0.000 0.000
0.000 4.803 0.000
-1.553 -2.402 4.522
Mo Tc Ca
2 1 1
direct
0.020 0.020 0.041
0.753 0.253 0.507
0.479 0.479 0.958
0.247 0.747 0.494
```

***

2:
DFT (GGA-PBEsol) results for a geometry-optimized CaTcMo2 structure.

Properties
M_tot in μB per cell: 0.0
D(E_F) in states/eV/f.u.: 3.4
Symmetry: Cmmm, No. 65

```
CaTcMo2
1.0
-0.623 0.381 -2.517
0.998 -5.091 -1.018
-5.079 1.455 1.477
Ca Tc Mo
1 1 2
direct
0.500 0.500 0.000
0.500 0.000 0.000
0.000 0.000 0.500
0.000 0.500 0.500
```

***

3:
DFT (GGA-PBEsol) results for a geometry-optimized CaTcMo2 structure.

Properties
M_tot in μB per cell: 0.0
D(E_F) in states/eV/f.u.: 5.2
Symmetry: Fm-3m, No. 225

```
CaTcMo2
1.0
4.514 0.000 0.000
2.257 3.909 0.000
2.257 1.303 3.685
Ca Mo Tc
1 2 1
direct
0.000 0.000 0.000
0.750 0.750 0.750
0.250 0.250 0.250
0.500 0.500 0.500
```

***

4:
DFT (GGA-PBEsol) results for a geometry-optimized CaTcMo2 structure.

Properties
M_tot in μB per cell: 0.0
D(E_F) in states/eV/f.u.: 3.5
Symmetry: C2/m, No. 12

```
CaTcMo2
1.0
2.659 0.004 0.000
-0.995 5.243 0.000
-0.832 -2.623 4.714
Ca Mo Tc
1 2 1
direct
0.500 0.000 0.000
0.000 0.000 0.500
0.500 0.500 0.500
0.000 0.500 0.000
```

***

Least stable = 2

***

1:
DFT (GGA-PBEsol) results for a geometry-optimized CaTlMo2 structure.

Properties
M_tot in μB per cell: 0.0
D(E_F) in states/eV/f.u.: 3.1
Symmetry: Pm, No. 6

```
CaTlMo2
1.0
-2.472 -2.045 -0.667
1.996 -1.794 -1.894
1.841 -4.192 6.030
Mo Tl Ca
2 1 1
direct
0.000 0.007 0.056
0.500 0.489 0.211
0.000 0.999 0.465
0.500 0.505 0.768
```

***

2:
DFT (GGA-PBEsol) results for a geometry-optimized CaTlMo2 structure.

Properties
M_tot in μB per cell: 0.0
D(E_F) in states/eV/f.u.: 3.3
Symmetry: Cm, No. 8

```
CaTlMo2
1.0
3.073 0.000 0.000
-1.536 4.191 0.015
0.000 -0.803 6.725
Mo Tl Ca
2 1 1
direct
0.747 0.494 0.204
0.013 0.025 0.071
0.493 0.986 0.455
0.247 0.494 0.771
```

***

Least stable = 2

***

1:
DFT (GGA-PBEsol) results for a geometry-optimized Ca2MoW structure.

Properties
M_tot in μB per cell: 0.0
D(E_F) in states/eV/f.u.: 4.5
Symmetry: P4mm, No. 99

```
Ca2MoW
1.0
3.306 0.000 0.000
0.000 3.306 0.000
0.000 0.000 8.817
Ca W Mo
2 1 1
direct
0.000 0.000 0.937
0.500 0.500 0.314
0.500 0.500 0.688
0.000 0.000 0.560
```

***

2:
DFT (GGA-PBEsol) results for a geometry-optimized Ca2MoW structure.

Properties
M_tot in μB per cell: 0.0
D(E_F) in states/eV/f.u.: 2.6
Symmetry: I4/mmm, No. 139

```
Ca2MoW
1.0
-3.388 1.396 -1.348
-1.935 -2.647 2.119
2.454 3.936 3.561
Ca Mo W
2 1 1
direct
0.250 0.750 0.500
0.750 0.250 0.500
0.500 0.500 0.000
0.000 0.000 0.000
```

***

Least stable = 2